(1)
Compound: AgPd3Au4
Source: Alexandria
Functional: GGA-PBE
Structure: relaxed

ΔE_f ... -0.49 eV/f.u.
Space-group type ... P-1, No. 2
Energy relative to the lowest polymorph listed for this composition ... 25 meV per atom
Volume ... 136 Å³/f.u.
N(E_F) ... 3.198 states/eV/cell

a b c (Å): 2.9308 4.9362 9.5152
angles (deg): 86.74 81.19 89.87
Last column: nearest neighbours and their distance in Å.
Sites, in units of the cell vectors:
Ag 0.0000 0.0000 0.0000  8 Pd 2.86-2.87, 2 Au 2.88, 2 Ag 2.93
Pd 0.3740 0.1225 0.2496  2 Ag 2.86, 7 Au 2.86-2.90, 3 Pd 2.91-2.93
Pd 0.5000 0.5000 0.0000  4 Au 2.82, 4 Ag 2.87, 4 Pd 2.91-2.93
Pd 0.6260 0.8775 0.7504  2 Ag 2.86, 7 Au 2.86-2.90, 3 Pd 2.91-2.93
Au 0.1226 0.3786 0.7558  6 Pd 2.82-2.88, 1 Ag 2.88, 5 Au 2.92-2.94
Au 0.2495 0.7513 0.5006  9 Au 2.86-2.94, 3 Pd 2.86-2.90
Au 0.7505 0.2487 0.4994  9 Au 2.86-2.94, 3 Pd 2.86-2.90
Au 0.8774 0.6214 0.2442  6 Pd 2.82-2.88, 1 Ag 2.88, 5 Au 2.92-2.94

---

(2)
Compound: Ag5Pd4Au2
Source: Alexandria
Functional: GGA-PBE
Structure: relaxed

ΔE_f ... 0.38 eV/f.u.
Space-group type ... P-1, No. 2
Energy relative to the lowest polymorph listed for this composition ... 0 meV per atom
Volume ... 195 Å³/f.u.
N(E_F) ... 5.197 states/eV/cell

a b c (Å): 5.3437 5.3692 8.1016
angles (deg): 98.89 102.00 116.74
Last column: nearest neighbours and their distance in Å.
Sites, in units of the cell vectors:
Ag 0.0000 0.0000 0.0000  4 Pd 2.82, 2 Au 3.01, 2 Ag 3.08
Ag 0.1824 0.4204 0.6019  2 Ag 2.76-2.80, 6 Pd 2.80-2.87, 3 Au 2.82-2.87
Ag 0.3162 0.6459 0.9593  3 Ag 2.76-3.08, 4 Pd 2.78-2.90
Ag 0.6838 0.3541 0.0407  3 Ag 2.76-3.08, 4 Pd 2.78-2.90
Ag 0.8176 0.5796 0.3981  2 Ag 2.76-2.80, 6 Pd 2.80-2.87, 3 Au 2.82-2.87
Pd 0.2447 0.9834 0.7246  3 Au 2.75-3.02, 6 Ag 2.78-2.90, 2 Pd 2.79-2.83
Pd 0.2580 0.5194 0.2744  3 Au 2.77-3.03, 6 Ag 2.78-2.90, 2 Pd 2.79-2.83
Pd 0.7420 0.4806 0.7256  3 Au 2.77-3.03, 6 Ag 2.78-2.90, 2 Pd 2.79-2.83
Pd 0.7553 0.0166 0.2754  3 Au 2.75-3.02, 6 Ag 2.78-2.90, 2 Pd 2.79-2.83
Au 0.3095 0.0618 0.3721  6 Pd 2.75-3.03, 4 Ag 2.82-3.01, 1 Au 2.96
Au 0.6905 0.9382 0.6279  6 Pd 2.75-3.03, 4 Ag 2.82-3.01, 1 Au 2.96

---

(3)
Compound: AgPd2Au2
Source: Alexandria
Functional: GGA-PBE
Structure: relaxed

ΔE_f ... 0.94 eV/f.u.
Space-group type ... I4/mmm, No. 139
Energy relative to the lowest polymorph listed for this composition ... 126 meV per atom
Volume ... 95 Å³/f.u.
N(E_F) ... 5.483 states/eV/cell

a b c (Å): 3.7281 3.7281 13.6108
angles (deg): 90.00 90.00 90.00
Last column: nearest neighbours and their distance in Å.
Sites, in units of the cell vectors:
Ag 0.0000 0.0000 0.0000  8 Au 2.96
Ag 0.5000 0.5000 0.5000  8 Au 2.96
Pd 0.0000 0.5000 0.2500  4 Pd 2.64, 4 Au 2.78
Pd 0.0000 0.5000 0.7500  4 Pd 2.64, 4 Au 2.78
Pd 0.5000 0.0000 0.2500  4 Pd 2.64, 4 Au 2.78
Pd 0.5000 0.0000 0.7500  4 Pd 2.64, 4 Au 2.78
Au 0.0000 0.0000 0.4015  1 Au 2.68, 4 Pd 2.78, 4 Ag 2.96
Au 0.0000 0.0000 0.5985  1 Au 2.68, 4 Pd 2.78, 4 Ag 2.96
Au 0.5000 0.5000 0.0985  1 Au 2.68, 4 Pd 2.78, 4 Ag 2.96
Au 0.5000 0.5000 0.9015  1 Au 2.68, 4 Pd 2.78, 4 Ag 2.96

---

(4)
Compound: Ag2Pd2Au3
Source: Alexandria
Functional: GGA-PBE
Structure: relaxed

ΔE_f ... 0.11 eV/f.u.
Space-group type ... P2_1/c, No. 14
Energy relative to the lowest polymorph listed for this composition ... 0 meV per atom
Volume ... 125 Å³/f.u.
N(E_F) ... 3.887 states/eV/cell

a b c (Å): 5.0298 7.6330 6.8075
angles (deg): 90.00 106.55 90.00
Last column: nearest neighbours and their distance in Å.
Sites, in units of the cell vectors:
Ag 0.1472 0.1592 0.3867  6 Au 2.76-2.87, 3 Pd 2.87-3.06
Ag 0.1472 0.3408 0.8867  6 Au 2.76-2.87, 3 Pd 2.87-3.06
Ag 0.8528 0.6592 0.1133  6 Au 2.76-2.87, 3 Pd 2.87-3.06
Ag 0.8528 0.8408 0.6133  6 Au 2.76-2.87, 3 Pd 2.87-3.06
Pd 0.4140 0.0219 0.7870  6 Au 2.76-2.95, 1 Pd 2.80, 3 Ag 2.87-3.06
Pd 0.4140 0.4781 0.2870  6 Au 2.76-2.95, 1 Pd 2.80, 3 Ag 2.87-3.06
Pd 0.5860 0.5219 0.7130  6 Au 2.76-2.95, 1 Pd 2.80, 3 Ag 2.87-3.06
Pd 0.5860 0.9781 0.2130  6 Au 2.76-2.95, 1 Pd 2.80, 3 Ag 2.87-3.06
Au 0.0000 0.0000 0.0000  4 Ag 2.80-2.87, 2 Au 2.82, 4 Pd 2.86-2.90
Au 0.0000 0.5000 0.5000  4 Ag 2.80-2.87, 2 Au 2.82, 4 Pd 2.86-2.90
Au 0.2907 0.6999 0.9349  4 Ag 2.76-2.84, 4 Pd 2.76-2.95, 1 Au 2.82
Au 0.2907 0.8001 0.4349  4 Ag 2.76-2.84, 4 Pd 2.76-2.95, 1 Au 2.82
Au 0.7093 0.1999 0.5651  4 Ag 2.76-2.84, 4 Pd 2.76-2.95, 1 Au 2.82
Au 0.7093 0.3001 0.0651  4 Ag 2.76-2.84, 4 Pd 2.76-2.95, 1 Au 2.82

---

(5)
Compound: AgPd2Au9
Source: Alexandria
Functional: GGA-PBE
Structure: relaxed

ΔE_f ... -0.74 eV/f.u.
Space-group type ... P4/mmm, No. 123
Volume ... 210 Å³/f.u.
N(E_F) ... 3.620 states/eV/cell

a b c (Å): 4.1576 4.1576 12.1380
angles (deg): 90.00 90.00 90.00
Last column: nearest neighbours and their distance in Å.
Sites, in units of the cell vectors:
Ag 0.0000 0.0000 0.0000  12 Au 2.93-2.94
Pd 0.0000 0.0000 0.3349  12 Au 2.89-2.94
Pd 0.0000 0.0000 0.6651  12 Au 2.89-2.94
Au 0.0000 0.5000 0.1700  2 Pd 2.89, 8 Au 2.89-2.94, 2 Ag 2.93
Au 0.0000 0.5000 0.5000  8 Au 2.89-2.94, 4 Pd 2.89
Au 0.0000 0.5000 0.8300  2 Pd 2.89, 8 Au 2.89-2.94, 2 Ag 2.93
Au 0.5000 0.0000 0.1700  2 Pd 2.89, 8 Au 2.89-2.94, 2 Ag 2.93
Au 0.5000 0.0000 0.5000  8 Au 2.89-2.94, 4 Pd 2.89
Au 0.5000 0.0000 0.8300  2 Pd 2.89, 8 Au 2.89-2.94, 2 Ag 2.93
Au 0.5000 0.5000 0.0000  8 Au 2.93, 4 Ag 2.94
Au 0.5000 0.5000 0.3351  8 Au 2.89, 4 Pd 2.94
Au 0.5000 0.5000 0.6649  8 Au 2.89, 4 Pd 2.94

---

(6)
Compound: Ag5Pd2Au5
Source: Alexandria
Functional: GGA-PBE
Structure: relaxed

ΔE_f ... -0.80 eV/f.u.
Space-group type ... C2/m, No. 12
Volume ... 209 Å³/f.u.
N(E_F) ... 4.289 states/eV/cell

a b c (Å): 6.5252 6.5252 9.1691
angles (deg): 115.49 115.49 37.03
Last column: nearest neighbours and their distance in Å.
Sites, in units of the cell vectors:
Ag 0.0000 0.0000 0.0000  8 Au 2.92-2.95, 4 Ag 2.92-2.93
Ag 0.0821 0.0821 0.7462  2 Pd 2.88-2.90, 7 Au 2.89-2.93, 3 Ag 2.93
Ag 0.2511 0.2511 0.2550  3 Pd 2.86-2.89, 6 Au 2.87-2.95, 3 Ag 2.92-2.93
Ag 0.7489 0.7489 0.7450  3 Pd 2.86-2.89, 6 Au 2.87-2.95, 3 Ag 2.92-2.93
Ag 0.9179 0.9179 0.2538  2 Pd 2.88-2.90, 7 Au 2.89-2.93, 3 Ag 2.93
Pd 0.1671 0.1671 0.4990  5 Au 2.85-2.93, 5 Ag 2.86-2.90, 2 Pd 2.91
Pd 0.8329 0.8329 0.5010  5 Au 2.85-2.93, 5 Ag 2.86-2.90, 2 Pd 2.91
Au 0.3336 0.3336 0.9998  8 Ag 2.92-2.95, 4 Au 2.93-2.94
Au 0.4132 0.4132 0.7434  3 Pd 2.85-2.87, 3 Au 2.88-2.94, 6 Ag 2.91-2.95
Au 0.5000 0.5000 0.5000  6 Ag 2.87-2.89, 2 Au 2.88, 4 Pd 2.93
Au 0.5868 0.5868 0.2566  3 Pd 2.85-2.87, 3 Au 2.88-2.94, 6 Ag 2.91-2.95
Au 0.6664 0.6664 0.0002  8 Ag 2.92-2.95, 4 Au 2.93-2.94

---

(7)
Compound: Ag5Pd6Au2
Source: Alexandria
Functional: GGA-PBE
Structure: relaxed

ΔE_f ... 0.33 eV/f.u.
Space-group type ... Pbam, No. 55
Volume ... 224 Å³/f.u.
N(E_F) ... 13.839 states/eV/cell

a b c (Å): 9.5505 16.5471 2.8326
angles (deg): 90.00 90.00 90.00
Last column: nearest neighbours and their distance in Å.
Sites, in units of the cell vectors:
Ag 0.0000 0.0000 0.0000  6 Pd 2.71-2.80, 2 Ag 2.83
Ag 0.0509 0.2910 0.0000  5 Pd 2.80-2.84, 4 Au 2.82-2.92, 2 Ag 2.83
Ag 0.2034 0.5709 0.0000  3 Ag 2.83-3.07, 6 Pd 2.90-3.05, 2 Au 3.02
Ag 0.2966 0.0709 0.0000  3 Ag 2.83-3.07, 6 Pd 2.90-3.05, 2 Au 3.02
Ag 0.4491 0.7910 0.0000  5 Pd 2.80-2.84, 4 Au 2.82-2.92, 2 Ag 2.83
Ag 0.5000 0.5000 0.0000  6 Pd 2.71-2.80, 2 Ag 2.83
Ag 0.5509 0.2090 0.0000  5 Pd 2.80-2.84, 4 Au 2.82-2.92, 2 Ag 2.83
Ag 0.7034 0.9291 0.0000  3 Ag 2.83-3.07, 6 Pd 2.90-3.05, 2 Au 3.02
Ag 0.7966 0.4291 0.0000  3 Ag 2.83-3.07, 6 Pd 2.90-3.05, 2 Au 3.02
Ag 0.9491 0.7090 0.0000  5 Pd 2.80-2.84, 4 Au 2.82-2.92, 2 Ag 2.83
Pd 0.0517 0.1429 0.5000  1 Au 2.78, 4 Pd 2.79-2.83, 6 Ag 2.80-2.98
Pd 0.0787 0.4359 0.5000  5 Pd 2.60-2.83, 4 Ag 2.80-2.90
Pd 0.1964 0.8815 0.0000  2 Ag 2.71-2.84, 6 Pd 2.73-2.83, 2 Au 2.85
Pd 0.3036 0.3815 0.0000  2 Ag 2.71-2.84, 6 Pd 2.73-2.83, 2 Au 2.85
Pd 0.4213 0.9359 0.5000  5 Pd 2.60-2.83, 4 Ag 2.80-2.90
Pd 0.4483 0.6429 0.5000  1 Au 2.78, 4 Pd 2.79-2.83, 6 Ag 2.80-2.98
Pd 0.5517 0.3571 0.5000  1 Au 2.78, 4 Pd 2.79-2.83, 6 Ag 2.80-2.98
Pd 0.5787 0.0641 0.5000  5 Pd 2.60-2.83, 4 Ag 2.80-2.90
Pd 0.6964 0.6185 0.0000  2 Ag 2.71-2.84, 6 Pd 2.73-2.83, 2 Au 2.85
Pd 0.8036 0.1185 0.0000  2 Ag 2.71-2.84, 6 Pd 2.73-2.83, 2 Au 2.85
Pd 0.9213 0.5641 0.5000  5 Pd 2.60-2.83, 4 Ag 2.80-2.90
Pd 0.9483 0.8571 0.5000  1 Au 2.78, 4 Pd 2.79-2.83, 6 Ag 2.80-2.98
Au 0.2016 0.7320 0.5000  3 Pd 2.78-2.85, 6 Ag 2.82-3.02, 2 Au 2.83
Au 0.2984 0.2320 0.5000  3 Pd 2.78-2.85, 6 Ag 2.82-3.02, 2 Au 2.83
Au 0.7016 0.7680 0.5000  3 Pd 2.78-2.85, 6 Ag 2.82-3.02, 2 Au 2.83
Au 0.7984 0.2680 0.5000  3 Pd 2.78-2.85, 6 Ag 2.82-3.02, 2 Au 2.83

---

(8)
Compound: Ag12Pd5Au2
Source: Alexandria
Functional: GGA-PBE
Structure: relaxed

ΔE_f ... 1.01 eV/f.u.
Space-group type ... C2/m, No. 12
Volume ... 340 Å³/f.u.
N(E_F) ... 5.624 states/eV/cell

a b c (Å): 7.4978 7.4978 6.8124
angles (deg): 90.74 90.74 62.72
Last column: nearest neighbours and their distance in Å.
Sites, in units of the cell vectors:
Ag 0.0595 0.0595 0.3335  2 Pd 2.71-2.85, 7 Ag 2.75-2.85, 2 Au 2.79
Ag 0.0725 0.6746 0.3413  4 Pd 2.77-3.04, 6 Ag 2.83-3.10, 1 Au 2.86
Ag 0.1594 0.5247 0.7534  1 Au 2.81, 5 Ag 2.83-2.99, 5 Pd 2.84-3.07
Ag 0.3254 0.9275 0.6587  4 Pd 2.77-3.04, 6 Ag 2.83-3.10, 1 Au 2.86
Ag 0.4103 0.4103 0.1158  3 Pd 2.79-2.84, 5 Ag 2.81-2.97, 2 Au 2.83
Ag 0.4753 0.8406 0.2466  1 Au 2.81, 5 Ag 2.83-2.99, 5 Pd 2.84-3.07
Ag 0.5247 0.1594 0.7534  1 Au 2.81, 5 Ag 2.83-2.99, 5 Pd 2.84-3.07
Ag 0.5897 0.5897 0.8842  3 Pd 2.79-2.84, 5 Ag 2.81-2.97, 2 Au 2.83
Ag 0.6746 0.0725 0.3413  4 Pd 2.77-3.04, 6 Ag 2.83-3.10, 1 Au 2.86
Ag 0.8406 0.4753 0.2466  1 Au 2.81, 5 Ag 2.83-2.99, 5 Pd 2.84-3.07
Ag 0.9275 0.3254 0.6587  4 Pd 2.77-3.04, 6 Ag 2.83-3.10, 1 Au 2.86
Ag 0.9405 0.9405 0.6665  2 Pd 2.71-2.85, 7 Ag 2.75-2.85, 2 Au 2.79
Pd 0.1960 0.1960 0.0070  8 Ag 2.83-3.01, 2 Au 2.89, 1 Pd 2.94
Pd 0.2671 0.2671 0.4196  8 Ag 2.71-2.90, 2 Pd 2.94-3.02
Pd 0.5000 0.5000 0.5000  10 Ag 2.84-3.04, 2 Pd 3.02
Pd 0.7329 0.7329 0.5804  8 Ag 2.71-2.90, 2 Pd 2.94-3.02
Pd 0.8040 0.8040 0.9930  8 Ag 2.83-3.01, 2 Au 2.89, 1 Pd 2.94
Au 0.1848 0.8152 0.0000  8 Ag 2.79-2.86, 1 Au 2.89, 2 Pd 2.89
Au 0.8152 0.1848 0.0000  8 Ag 2.79-2.86, 1 Au 2.89, 2 Pd 2.89

---

(9)
Compound: AgPd12Au7
Source: Alexandria
Functional: GGA-PBE
Structure: relaxed

ΔE_f ... 0.46 eV/f.u.
Space-group type ... R-3m, No. 166
Volume ... 334 Å³/f.u.
N(E_F) ... 32.378 states/eV/cell

a b c (Å): 7.0977 7.0977 7.0977
angles (deg): 101.27 101.27 101.27
Last column: nearest neighbours and their distance in Å.
Sites, in units of the cell vectors:
Ag 0.0000 0.0000 0.0000  6 Pd 2.86, 6 Au 2.89
Pd 0.0000 0.2609 0.7391  6 Pd 2.70-2.92, 4 Au 2.75-2.88, 1 Ag 2.86
Pd 0.0000 0.7391 0.2609  6 Pd 2.70-2.92, 4 Au 2.75-2.88, 1 Ag 2.86
Pd 0.1731 0.6020 0.6020  5 Pd 2.57-2.83, 1 Au 2.75
Pd 0.2609 0.0000 0.7391  6 Pd 2.70-2.92, 4 Au 2.75-2.88, 1 Ag 2.86
Pd 0.2609 0.7391 0.0000  6 Pd 2.70-2.92, 4 Au 2.75-2.88, 1 Ag 2.86
Pd 0.3980 0.3980 0.8269  5 Pd 2.57-2.83, 1 Au 2.75
Pd 0.3980 0.8269 0.3980  5 Pd 2.57-2.83, 1 Au 2.75
Pd 0.6020 0.1731 0.6020  5 Pd 2.57-2.83, 1 Au 2.75
Pd 0.6020 0.6020 0.1731  5 Pd 2.57-2.83, 1 Au 2.75
Pd 0.7391 0.0000 0.2609  6 Pd 2.70-2.92, 4 Au 2.75-2.88, 1 Ag 2.86
Pd 0.7391 0.2609 0.0000  6 Pd 2.70-2.92, 4 Au 2.75-2.88, 1 Ag 2.86
Pd 0.8269 0.3980 0.3980  5 Pd 2.57-2.83, 1 Au 2.75
Au 0.1592 0.1592 0.4214  5 Pd 2.75-3.02, 3 Au 2.88-2.94, 1 Ag 2.89
Au 0.1592 0.4214 0.1592  5 Pd 2.75-3.02, 3 Au 2.88-2.94, 1 Ag 2.89
Au 0.4214 0.1592 0.1592  5 Pd 2.75-3.02, 3 Au 2.88-2.94, 1 Ag 2.89
Au 0.5000 0.5000 0.5000  6 Pd 2.75, 6 Au 2.94
Au 0.5786 0.8408 0.8408  5 Pd 2.75-3.02, 3 Au 2.88-2.94, 1 Ag 2.89
Au 0.8408 0.5786 0.8408  5 Pd 2.75-3.02, 3 Au 2.88-2.94, 1 Ag 2.89
Au 0.8408 0.8408 0.5786  5 Pd 2.75-3.02, 3 Au 2.88-2.94, 1 Ag 2.89

---

(10)
Compound: AgPd5Au2
Source: Alexandria
Functional: GGA-PBE
Structure: relaxed

ΔE_f ... -0.36 eV/f.u.
Space-group type ... Pbam, No. 55
Energy relative to the lowest polymorph listed for this composition ... 0 meV per atom
Volume ... 131 Å³/f.u.
N(E_F) ... 23.751 states/eV/cell

a b c (Å): 5.7434 11.4997 3.9540
angles (deg): 90.00 90.00 90.00
Last column: nearest neighbours and their distance in Å.
Sites, in units of the cell vectors:
Ag 0.0000 0.0000 0.0000  4 Au 2.83, 8 Pd 2.87-2.88
Ag 0.5000 0.5000 0.0000  4 Au 2.83, 8 Pd 2.87-2.88
Pd 0.0000 0.5000 0.0000  6 Pd 2.82-2.87, 4 Au 2.85, 2 Ag 2.87
Pd 0.0066 0.2505 0.0000  4 Au 2.82-2.85, 7 Pd 2.82-2.87, 1 Ag 2.88
Pd 0.2426 0.6268 0.5000  6 Pd 2.82-2.83, 4 Au 2.84-2.90, 2 Ag 2.87
Pd 0.2574 0.1268 0.5000  6 Pd 2.82-2.83, 4 Au 2.84-2.90, 2 Ag 2.87
Pd 0.4934 0.7505 0.0000  4 Au 2.82-2.85, 7 Pd 2.82-2.87, 1 Ag 2.88
Pd 0.5000 0.0000 0.0000  6 Pd 2.82-2.87, 4 Au 2.85, 2 Ag 2.87
Pd 0.5066 0.2495 0.0000  4 Au 2.82-2.85, 7 Pd 2.82-2.87, 1 Ag 2.88
Pd 0.7426 0.8732 0.5000  6 Pd 2.82-2.83, 4 Au 2.84-2.90, 2 Ag 2.87
Pd 0.7574 0.3732 0.5000  6 Pd 2.82-2.83, 4 Au 2.84-2.90, 2 Ag 2.87
Pd 0.9934 0.7495 0.0000  4 Au 2.82-2.85, 7 Pd 2.82-2.87, 1 Ag 2.88
Au 0.2474 0.8744 0.5000  10 Pd 2.82-2.90, 2 Ag 2.83
Au 0.2526 0.3744 0.5000  10 Pd 2.82-2.90, 2 Ag 2.83
Au 0.7474 0.6256 0.5000  10 Pd 2.82-2.90, 2 Ag 2.83
Au 0.7526 0.1256 0.5000  10 Pd 2.82-2.90, 2 Ag 2.83